Compound: Pa2Zn3Pd2
Source: Alexandria via LeMat-Bulk
Functional: PBE-GGA
Structure: optimized geometry Values from VASP.

Structure (Quantum ESPRESSO input):
```
&SYSTEM
  ibrav = 0, nat = 7, ntyp = 3
/
ATOMIC_SPECIES
Pa 231.04 Pa.upf
Zn 65.41 Zn.upf
Pd 106.42 Pd.upf
CELL_PARAMETERS angstrom
4.554 0.000 0.000
-2.277 4.867 -0.113
0.000 -1.288 6.121
ATOMIC_POSITIONS crystal
Pa 0.600 0.200 0.360
Pa 0.400 0.800 0.640
Zn 0.272 0.544 0.122
Zn 0.000 0.000 0.000
Zn 0.728 0.456 0.878
Pd 0.122 0.244 0.677
Pd 0.878 0.756 0.323
```

Values from the calculation:
Its total magnetic moment is 0.00 Bohr magnetons per cell. The energy of formation from the pure elements comes out at -289 meV/atom. The value obtained for the calculated density is 10.72 g/cm³. The space-group type is C2/m. Its distance to the lowest polymorph of the same formula is 73.3 meV per atom.

Compound: Pa2Zn2Pd5
Source: Alexandria via LeMat-Bulk
Functional: PBE-GGA
Structure: optimized geometry Values from VASP.

Structure (Quantum ESPRESSO input):
```
&SYSTEM
  ibrav = 0, nat = 18, ntyp = 3
/
ATOMIC_SPECIES
Pa 231.04 Pa.upf
Zn 65.41 Zn.upf
Pd 106.42 Pd.upf
CELL_PARAMETERS angstrom
-2.973 -5.108 -3.617
5.835 -1.350 -2.889
0.169 -1.582 8.733
ATOMIC_POSITIONS crystal
Pa 0.051 0.666 0.237
Pa 0.949 0.429 0.763
Pa 0.685 0.166 0.237
Pa 0.315 0.929 0.763
Zn 0.000 0.927 0.000
Zn 0.500 0.427 0.000
Zn 0.279 0.440 0.500
Zn 0.721 0.940 0.500
Pd 0.312 0.743 0.009
Pd 0.688 0.733 0.991
Pd 0.197 0.243 0.009
Pd 0.803 0.233 0.991
Pd 0.349 0.061 0.320
Pd 0.651 0.741 0.680
Pd 0.471 0.561 0.320
Pd 0.529 0.241 0.680
Pd 0.929 0.597 0.500
Pd 0.071 0.097 0.500
```

Values from the calculation:
Its total magnetic moment is 0.00 Bohr magnetons per cell. The energy of formation from the pure elements comes out at -405 meV/atom. The value obtained for the calculated density is 10.86 g/cm³. The space-group type is Ima2.

Compound: Pa3Zn7Pd2
Source: Alexandria via LeMat-Bulk
Functional: PBE-GGA
Structure: optimized geometry Values from VASP.

Structure (Quantum ESPRESSO input):
```
&SYSTEM
  ibrav = 0, nat = 12, ntyp = 3
/
ATOMIC_SPECIES
Pa 231.04 Pa.upf
Zn 65.41 Zn.upf
Pd 106.42 Pd.upf
CELL_PARAMETERS angstrom
5.017 0.000 1.570
2.263 4.477 1.570
-0.227 -0.140 9.525
ATOMIC_POSITIONS crystal
Pa 0.000 0.000 0.000
Pa 0.847 0.847 0.459
Pa 0.153 0.153 0.541
Zn 0.500 0.500 0.500
Zn 0.923 0.417 0.242
Zn 0.417 0.923 0.242
Zn 0.417 0.417 0.242
Zn 0.077 0.583 0.758
Zn 0.583 0.583 0.758
Zn 0.583 0.077 0.758
Pd 0.665 0.665 0.005
Pd 0.335 0.335 0.995
```

Values from the calculation:
Its total magnetic moment is 0.80 Bohr magnetons per cell. The energy of formation from the pure elements comes out at -243 meV/atom. The value obtained for the calculated density is 10.48 g/cm³. The space-group type is R-3m.

Compound: Pa3Zn2Pd7
Source: Alexandria via LeMat-Bulk
Functional: PBE-GGA
Structure: optimized geometry Values from VASP.

Structure (Quantum ESPRESSO input):
```
&SYSTEM
  ibrav = 0, nat = 12, ntyp = 3
/
ATOMIC_SPECIES
Pa 231.04 Pa.upf
Zn 65.41 Zn.upf
Pd 106.42 Pd.upf
CELL_PARAMETERS angstrom
3.955 0.000 0.000
0.000 4.113 -0.001
0.000 -2.050 13.999
ATOMIC_POSITIONS crystal
Pa 0.500 0.500 0.000
Pa 0.000 0.182 0.365
Pa 0.000 0.818 0.635
Zn 0.500 0.631 0.262
Zn 0.500 0.369 0.738
Pd 0.500 0.719 0.439
Pd 0.500 0.281 0.561
Pd 0.000 0.573 0.147
Pd 0.000 0.000 0.000
Pd 0.000 0.427 0.853
Pd 0.500 0.925 0.850
Pd 0.500 0.075 0.150
```

Values from the calculation:
Its total magnetic moment is 2.31 Bohr magnetons per cell. The energy of formation from the pure elements comes out at -492 meV/atom. The value obtained for the calculated density is 11.44 g/cm³. The space-group type is P2/m.

Number 1: electronic total energy -5.032 eV per atom. Number 2: electronic total energy -5.683 eV per atom. Number 3: electronic total energy -4.226 eV per atom. Number 4: electronic total energy -6.108 eV per atom.